Material: Zr3Nb2Ge3
Method: DFT, PBE-GGA
State: optimized geometry

abc: 7.973 7.973 5.471
angles: 90.00 90.00 120.00
Atoms (fractional coordinates):
Zr (0.000, 0.255, 0.250)
Zr (0.000, 0.745, 0.750)
Zr (0.255, 0.000, 0.250)
Zr (0.255, 0.255, 0.750)
Zr (0.745, 0.000, 0.750)
Zr (0.745, 0.745, 0.250)
Nb (0.333, 0.667, 0.000)
Nb (0.333, 0.667, 0.500)
Nb (0.667, 0.333, 0.000)
Nb (0.667, 0.333, 0.500)
Ge (0.000, 0.392, 0.750)
Ge (0.000, 0.608, 0.250)
Ge (0.392, 0.000, 0.750)
Ge (0.392, 0.392, 0.250)
Ge (0.608, 0.000, 0.250)
Ge (0.608, 0.608, 0.750)

The value obtained for the total DFT energy (no corrections) is -8.191 eV/atom. The calculated formation energy is -0.74 eV per atom. The space group is P6_3/mcm. The spin magnetization comes out at 0.00 Bohr magnetons per cell.

---

Material: ZrNbGe3
Method: DFT, PBE-GGA
State: optimized geometry

abc: 4.999 4.999 4.999
angles: 90.00 90.00 90.00
Atoms (fractional coordinates):
Zr (0.000, 0.000, 0.000)
Nb (0.500, 0.500, 0.500)
Ge (0.000, 0.000, 0.500)
Ge (0.000, 0.500, 0.000)
Ge (0.500, 0.000, 0.000)

The value obtained for the total DFT energy (no corrections) is -5.400 eV/atom. The calculated formation energy is 1.09 eV per atom. The space group is Pm-3m. The energy above the lowest structure with this stoichiometry comes out at 550 meV/atom. The spin magnetization comes out at 0.00 Bohr magnetons per cell.

---

Material: Zr2Nb3Ge2
Method: DFT, PBE-GGA
State: optimized geometry

abc: 5.468 5.468 7.124
angles: 94.67 94.67 38.78
Atoms (fractional coordinates):
Zr (0.136, 0.136, 0.344)
Zr (0.864, 0.864, 0.656)
Nb (0.186, 0.186, 0.871)
Nb (0.500, 0.500, 0.000)
Nb (0.814, 0.814, 0.129)
Ge (0.416, 0.416, 0.360)
Ge (0.584, 0.584, 0.640)

The value obtained for the total DFT energy (no corrections) is -8.513 eV/atom. The calculated formation energy is -0.44 eV per atom. The space group is C2/m. The spin magnetization comes out at 0.00 Bohr magnetons per cell.

---

Material: ZrNb2Ge2
Method: DFT, PBE-GGA
State: optimized geometry

abc: 3.965 3.965 6.575
angles: 107.47 107.47 89.95
Atoms (fractional coordinates):
Zr (0.000, 0.000, 0.000)
Nb (0.250, 0.750, 0.500)
Nb (0.750, 0.250, 0.500)
Ge (0.399, 0.399, 0.799)
Ge (0.601, 0.601, 0.201)

The value obtained for the total DFT energy (no corrections) is -8.002 eV/atom. The calculated formation energy is -0.42 eV per atom. The space group is C2/m. The energy above the lowest structure with this stoichiometry comes out at 156 meV/atom. The spin magnetization comes out at 0.00 Bohr magnetons per cell.

---

Material: Zr3NbGe
Method: DFT, PBE-GGA
State: optimized geometry

abc: 4.986 4.986 4.986
angles: 90.00 90.00 90.00
Atoms (fractional coordinates):
Zr (0.000, 0.000, 0.500)
Zr (0.000, 0.500, 0.000)
Zr (0.500, 0.000, 0.000)
Nb (0.500, 0.500, 0.500)
Ge (0.000, 0.000, 0.000)

The value obtained for the total DFT energy (no corrections) is -7.531 eV/atom. The calculated formation energy is 0.54 eV per atom. The space group is Pm-3m. The energy above the lowest structure with this stoichiometry comes out at 0 meV/atom. The spin magnetization comes out at 0.01 Bohr magnetons per cell.

---

Material: Nd2Ge
Method: DFT, PBE-GGA
State: optimized geometry

abc: 7.882 4.542 9.578
angles: 90.00 90.00 90.00
Atoms (fractional coordinates):
Nd (0.040, 0.250, 0.169)
Nd (0.138, 0.250, 0.572)
Nd (0.362, 0.750, 0.072)
Nd (0.460, 0.750, 0.669)
Nd (0.540, 0.250, 0.331)
Nd (0.638, 0.250, 0.928)
Nd (0.862, 0.750, 0.428)
Nd (0.960, 0.750, 0.831)
Ge (0.237, 0.250, 0.877)
Ge (0.263, 0.750, 0.377)
Ge (0.737, 0.250, 0.623)
Ge (0.763, 0.750, 0.123)

The value obtained for the total DFT energy (no corrections) is -5.292 eV/atom. The calculated formation energy is -0.57 eV per atom. The space group is Pnma. The energy above the lowest structure with this stoichiometry comes out at 0 meV/atom. The spin magnetization comes out at 4.68 Bohr magnetons per cell.

---

Material: Nd2Ge
Method: DFT, PBE-GGA
State: optimized geometry

abc: 5.679 5.679 5.679
angles: 138.50 138.50 60.13
Atoms (fractional coordinates):
Nd (0.150, 0.150, 0.000)
Nd (0.850, 0.850, 0.000)
Ge (0.500, 0.500, 0.000)

The value obtained for the total DFT energy (no corrections) is -5.166 eV/atom. The calculated formation energy is -0.45 eV per atom. The space group is I4/mmm. The energy above the lowest structure with this stoichiometry comes out at 126 meV/atom. The spin magnetization comes out at 0.00 Bohr magnetons per cell.

---

Material: Nd4Ge3
Method: DFT, PBE-GGA
State: optimized geometry

abc: 7.954 7.954 7.954
angles: 109.47 109.47 109.47
Atoms (fractional coordinates):
Nd (0.000, 0.370, 0.500)
Nd (0.000, 0.870, 0.500)
Nd (0.130, 0.130, 0.130)
Nd (0.370, 0.500, 0.000)
Nd (0.500, 0.000, 0.370)
Nd (0.500, 0.000, 0.870)
Nd (0.630, 0.630, 0.630)
Nd (0.870, 0.500, 0.000)
Ge (0.125, 0.750, 0.875)
Ge (0.250, 0.625, 0.375)
Ge (0.375, 0.250, 0.625)
Ge (0.625, 0.375, 0.250)
Ge (0.750, 0.875, 0.125)
Ge (0.875, 0.125, 0.750)

The value obtained for the total DFT energy (no corrections) is -5.519 eV/atom. The calculated formation energy is -0.82 eV per atom. The space group is I-43d. The spin magnetization comes out at 0.00 Bohr magnetons per cell.

---

Material: NdGe6
Method: DFT, PBE-GGA
State: optimized geometry

abc: 6.110 6.110 6.110
angles: 109.47 109.47 109.47
Atoms (fractional coordinates):
Nd (0.000, 0.000, 0.000)
Ge (0.250, 0.500, 0.750)
Ge (0.250, 0.750, 0.500)
Ge (0.500, 0.250, 0.750)
Ge (0.500, 0.750, 0.250)
Ge (0.750, 0.250, 0.500)
Ge (0.750, 0.500, 0.250)

The value obtained for the total DFT energy (no corrections) is -4.449 eV/atom. The calculated formation energy is 0.19 eV per atom. The space group is Im-3m. The spin magnetization comes out at 0.00 Bohr magnetons per cell.

---

Material: Nd5Ge3
Method: DFT, PBE-GGA
State: optimized geometry

abc: 9.318 9.318 6.219
angles: 90.00 90.00 120.00
Atoms (fractional coordinates):
Nd (0.000, 0.293, 0.250)
Nd (0.000, 0.707, 0.750)
Nd (0.293, 0.000, 0.250)
Nd (0.293, 0.293, 0.750)
Nd (0.333, 0.667, 0.250)
Nd (0.333, 0.667, 0.750)
Nd (0.667, 0.333, 0.250)
Nd (0.667, 0.333, 0.750)
Nd (0.707, 0.000, 0.750)
Nd (0.707, 0.707, 0.250)
Ge (0.000, 0.349, 0.750)
Ge (0.000, 0.651, 0.250)
Ge (0.349, 0.000, 0.750)
Ge (0.349, 0.349, 0.250)
Ge (0.651, 0.000, 0.250)
Ge (0.651, 0.651, 0.750)

The value obtained for the total DFT energy (no corrections) is -5.142 eV/atom. The calculated formation energy is -0.43 eV per atom. The space group is P6_3/mcm. The energy above the lowest structure with this stoichiometry comes out at 277 meV/atom. The spin magnetization comes out at 0.00 Bohr magnetons per cell.

---

Material: Nd5Ge3
Method: DFT, PBE-GGA
State: optimized geometry

abc: 8.849 8.849 6.727
angles: 90.00 90.00 120.00
Atoms (fractional coordinates):
Nd (0.000, 0.246, 0.250)
Nd (0.000, 0.754, 0.750)
Nd (0.246, 0.000, 0.250)
Nd (0.246, 0.246, 0.750)
Nd (0.333, 0.667, 0.000)
Nd (0.333, 0.667, 0.500)
Nd (0.667, 0.333, 0.000)
Nd (0.667, 0.333, 0.500)
Nd (0.754, 0.000, 0.750)
Nd (0.754, 0.754, 0.250)
Ge (0.000, 0.393, 0.750)
Ge (0.000, 0.607, 0.250)
Ge (0.393, 0.000, 0.750)
Ge (0.393, 0.393, 0.250)
Ge (0.607, 0.000, 0.250)
Ge (0.607, 0.607, 0.750)

The value obtained for the total DFT energy (no corrections) is -5.418 eV/atom. The calculated formation energy is -0.71 eV per atom. The space group is P6_3/mcm. The energy above the lowest structure with this stoichiometry comes out at 1 meV/atom. The spin magnetization comes out at 0.00 Bohr magnetons per cell.

---

Material: Nd2Ge
Method: DFT, PBE-GGA
State: optimized geometry

abc: 7.513 7.513 7.513
angles: 147.16 129.20 61.82
Atoms (fractional coordinates):
Nd (0.198, 0.198, 0.000)
Nd (0.270, 0.500, 0.770)
Nd (0.730, 0.500, 0.230)
Nd (0.802, 0.802, 0.000)
Ge (0.359, 0.859, 0.500)
Ge (0.641, 0.141, 0.500)

The value obtained for the total DFT energy (no corrections) is -5.265 eV/atom. The calculated formation energy is -0.55 eV per atom. The space group is Immm. The energy above the lowest structure with this stoichiometry comes out at 27 meV/atom. The spin magnetization comes out at 0.00 Bohr magnetons per cell.

---

Material: Nd3Ge4
Method: DFT, PBE-GGA
State: optimized geometry

abc: 5.914 5.914 14.632
angles: 90.00 90.00 138.08
Atoms (fractional coordinates):
Nd (0.035, 0.965, 0.750)
Nd (0.325, 0.675, 0.597)
Nd (0.325, 0.675, 0.903)
Nd (0.675, 0.325, 0.097)
Nd (0.675, 0.325, 0.403)
Nd (0.965, 0.035, 0.250)
Ge (0.000, 0.000, 0.000)
Ge (0.000, 0.000, 0.500)
Ge (0.240, 0.760, 0.250)
Ge (0.387, 0.613, 0.109)
Ge (0.387, 0.613, 0.391)
Ge (0.613, 0.387, 0.609)
Ge (0.613, 0.387, 0.891)
Ge (0.760, 0.240, 0.750)

The value obtained for the total DFT energy (no corrections) is -5.467 eV/atom. The calculated formation energy is -0.78 eV per atom. The space group is Cmcm. The spin magnetization comes out at 0.00 Bohr magnetons per cell.

---

Material: Nd5Ge6
Method: DFT, PBE-GGA
State: optimized geometry

abc: 15.029 15.029 4.465
angles: 90.00 90.00 164.38
Atoms (fractional coordinates):
Nd (0.000, 0.000, 0.000)
Nd (0.198, 0.802, 0.500)
Nd (0.387, 0.613, 0.000)
Nd (0.613, 0.387, 0.000)
Nd (0.802, 0.198, 0.500)
Ge (0.097, 0.903, 0.500)
Ge (0.280, 0.720, 0.000)
Ge (0.458, 0.542, 0.500)
Ge (0.542, 0.458, 0.500)
Ge (0.720, 0.280, 0.000)
Ge (0.903, 0.097, 0.500)

The value obtained for the total DFT energy (no corrections) is -5.474 eV/atom. The calculated formation energy is -0.79 eV per atom. The space group is Cmmm. The spin magnetization comes out at 0.00 Bohr magnetons per cell.

---

Material: Nd5Ge
Method: DFT, PBE-GGA
State: optimized geometry

abc: 8.136 8.136 4.890
angles: 90.00 90.00 145.51
Atoms (fractional coordinates):
Nd (0.000, 0.000, 0.000)
Nd (0.156, 0.844, 0.500)
Nd (0.342, 0.658, 0.000)
Nd (0.658, 0.342, 0.000)
Nd (0.844, 0.156, 0.500)
Ge (0.500, 0.500, 0.500)

The value obtained for the total DFT energy (no corrections) is -4.919 eV/atom. The calculated formation energy is -0.18 eV per atom. The space group is Cmmm. The spin magnetization comes out at 0.00 Bohr magnetons per cell.

---

Material: Nd5Ge3
Method: DFT, PBE-GGA
State: optimized geometry

abc: 11.664 11.664 6.592
angles: 90.00 90.00 90.00
Atoms (fractional coordinates):
Nd (0.037, 0.163, 0.144)
Nd (0.037, 0.337, 0.644)
Nd (0.163, 0.037, 0.644)
Nd (0.163, 0.463, 0.144)
Nd (0.250, 0.750, 0.000)
Nd (0.250, 0.750, 0.500)
Nd (0.337, 0.037, 0.144)
Nd (0.337, 0.463, 0.644)
Nd (0.463, 0.163, 0.644)
Nd (0.463, 0.337, 0.144)
Nd (0.537, 0.663, 0.856)
Nd (0.537, 0.837, 0.356)
Nd (0.663, 0.537, 0.356)
Nd (0.663, 0.963, 0.856)
Nd (0.750, 0.250, 0.000)
Nd (0.750, 0.250, 0.500)
Nd (0.837, 0.537, 0.856)
Nd (0.837, 0.963, 0.356)
Nd (0.963, 0.663, 0.356)
Nd (0.963, 0.837, 0.856)
Ge (0.090, 0.590, 0.750)
Ge (0.090, 0.910, 0.250)
Ge (0.250, 0.250, 0.400)
Ge (0.250, 0.250, 0.900)
Ge (0.410, 0.590, 0.250)
Ge (0.410, 0.910, 0.750)
Ge (0.590, 0.090, 0.250)
Ge (0.590, 0.410, 0.750)
Ge (0.750, 0.750, 0.100)
Ge (0.750, 0.750, 0.600)
Ge (0.910, 0.090, 0.750)
Ge (0.910, 0.410, 0.250)

The value obtained for the total DFT energy (no corrections) is -5.419 eV/atom. The calculated formation energy is -0.71 eV per atom. The space group is P4/ncc. The energy above the lowest structure with this stoichiometry comes out at 0 meV/atom. The spin magnetization comes out at 1.13 Bohr magnetons per cell.

---

Material: NdGe
Method: DFT, PBE-GGA
State: optimized geometry

abc: 11.585 11.585 11.585
angles: 158.76 158.76 30.22
Atoms (fractional coordinates):
Nd (0.069, 0.319, 0.750)
Nd (0.319, 0.069, 0.250)
Nd (0.681, 0.931, 0.750)
Nd (0.931, 0.681, 0.250)
Ge (0.209, 0.459, 0.750)
Ge (0.459, 0.209, 0.250)
Ge (0.541, 0.791, 0.750)
Ge (0.791, 0.541, 0.250)

The value obtained for the total DFT energy (no corrections) is -5.518 eV/atom. The calculated formation energy is -0.82 eV per atom. The space group is I4_1/amd. The spin magnetization comes out at 0.00 Bohr magnetons per cell.

---

Material: Nd5Ge4
Method: DFT, PBE-GGA
State: optimized geometry

abc: 6.036 6.036 10.233
angles: 110.32 110.32 43.44
Atoms (fractional coordinates):
Nd (0.000, 0.000, 0.000)
Nd (0.099, 0.099, 0.392)
Nd (0.248, 0.248, 0.833)
Nd (0.752, 0.752, 0.167)
Nd (0.901, 0.901, 0.608)
Ge (0.375, 0.375, 0.390)
Ge (0.452, 0.452, 0.170)
Ge (0.548, 0.548, 0.830)
Ge (0.625, 0.625, 0.610)

The value obtained for the total DFT energy (no corrections) is -5.479 eV/atom. The calculated formation energy is -0.78 eV per atom. The space group is C2/m. The energy above the lowest structure with this stoichiometry comes out at 30 meV/atom. The spin magnetization comes out at 0.00 Bohr magnetons per cell.

---

Material: NdGe
Method: DFT, PBE-GGA
State: optimized geometry

abc: 5.988 5.988 4.080
angles: 90.00 90.00 136.06
Atoms (fractional coordinates):
Nd (0.138, 0.862, 0.750)
Nd (0.862, 0.138, 0.250)
Ge (0.419, 0.581, 0.750)
Ge (0.581, 0.419, 0.250)

The value obtained for the total DFT energy (no corrections) is -5.542 eV/atom. The calculated formation energy is -0.85 eV per atom. The space group is Cmcm. The spin magnetization comes out at 0.00 Bohr magnetons per cell.

---

Material: Nd3Ge5
Method: DFT, PBE-GGA
State: optimized geometry

abc: 11.407 7.679 9.429
angles: 82.96 41.92 55.12
Atoms (fractional coordinates):
Nd (0.000, 0.000, 0.000)
Nd (0.250, 0.250, 0.250)
Nd (0.319, 0.668, 0.343)
Nd (0.580, 0.907, 0.582)
Nd (0.668, 0.319, 0.670)
Nd (0.907, 0.580, 0.931)
Ge (0.065, 0.761, 0.261)
Ge (0.204, 0.480, 0.938)
Ge (0.312, 0.871, 0.046)
Ge (0.337, 0.989, 0.489)
Ge (0.480, 0.204, 0.379)
Ge (0.553, 0.553, 0.447)
Ge (0.761, 0.065, 0.913)
Ge (0.803, 0.803, 0.697)
Ge (0.871, 0.312, 0.770)
Ge (0.989, 0.337, 0.185)

The value obtained for the total DFT energy (no corrections) is -5.420 eV/atom. The calculated formation energy is -0.75 eV per atom. The space group is Fdd2. The spin magnetization comes out at 0.00 Bohr magnetons per cell.

---

Material: NdGe2
Method: DFT, PBE-GGA
State: optimized geometry

abc: 8.609 8.609 8.609
angles: 152.04 152.04 39.95
Atoms (fractional coordinates):
Nd (0.375, 0.625, 0.750)
Nd (0.625, 0.375, 0.250)
Ge (0.045, 0.795, 0.250)
Ge (0.205, 0.955, 0.250)
Ge (0.795, 0.045, 0.750)
Ge (0.955, 0.205, 0.750)

The value obtained for the total DFT energy (no corrections) is -5.280 eV/atom. The calculated formation energy is -0.61 eV per atom. The space group is I4_1/amd. The spin magnetization comes out at 0.00 Bohr magnetons per cell.

---

Material: Nd4Ge
Method: DFT, PBE-GGA
State: optimized geometry

abc: 5.721 5.721 5.721
angles: 90.00 90.00 90.00
Atoms (fractional coordinates):
Nd (0.000, 0.000, 0.000)
Nd (0.000, 0.500, 0.500)
Nd (0.500, 0.000, 0.500)
Nd (0.500, 0.500, 0.000)
Ge (0.500, 0.500, 0.500)

The value obtained for the total DFT energy (no corrections) is -4.762 eV/atom. The calculated formation energy is -0.02 eV per atom. The space group is Pm-3m. The spin magnetization comes out at 0.37 Bohr magnetons per cell.